# 1
Compound: Re4Ir5
Source: the Alexandria database
Functional: PBE
Structure: optimized geometry

Results
energy relative to the lowest polymorph listed for this composition	233.8	meV/atom
magnetization	0.0	μB per formula unit
E_form	112	meV/atom
DFT total energy	-10.34	eV/atom
calculated density	20.939	g/cm³

Cell: 7.5638 7.5638 5.4610 Å, 90.00 90.00 120.00°
Closest atoms and distances in Å follow each position.
Fractional positions:
Re 0.0000 0.0000 0.0000  8 Re 2.73-2.85, 6 Ir 2.85
Re 0.0000 0.0000 0.5000  8 Re 2.73-2.85, 6 Ir 2.85
Re 0.0000 0.3306 0.2500  5 Ir 2.50-2.73
Re 0.0000 0.6694 0.7500  5 Ir 2.50-2.73
Re 0.3306 0.0000 0.2500  5 Ir 2.50-2.73
Re 0.3306 0.3306 0.7500  5 Ir 2.50-2.73
Re 0.6694 0.0000 0.7500  5 Ir 2.50-2.73
Re 0.6694 0.6694 0.2500  5 Ir 2.50-2.73
Ir 0.0000 0.3312 0.7500  5 Re 2.50-2.73
Ir 0.0000 0.6688 0.2500  5 Re 2.50-2.73
Ir 0.3312 0.0000 0.7500  5 Re 2.50-2.73
Ir 0.3312 0.3312 0.2500  5 Re 2.50-2.73
Ir 0.3333 0.6667 0.0000  8 Ir 2.73-2.87, 6 Re 2.88
Ir 0.3333 0.6667 0.5000  8 Ir 2.73-2.87, 6 Re 2.88
Ir 0.6667 0.3333 0.0000  8 Ir 2.73-2.87, 6 Re 2.88
Ir 0.6667 0.3333 0.5000  8 Ir 2.73-2.87, 6 Re 2.88
Ir 0.6688 0.0000 0.2500  5 Re 2.50-2.73
Ir 0.6688 0.6688 0.7500  5 Re 2.50-2.73

=====

# 2
Compound: GdZnCd2
Source: the Alexandria database
Functional: PBE
Structure: optimized geometry

Results
magnetization	7.5	μB per formula unit
E_form	-152	meV/atom
DFT total energy	-4.45	eV/atom
calculated density	8.251	g/cm³

Cell: 3.3468 3.3468 8.0400 Å, 90.00 90.00 90.00°
Closest atoms and distances in Å follow each position.
Fractional positions:
Gd 0.0000 0.0000 0.0000  8 Cd 3.29, 4 Gd 3.35
Zn 0.0000 0.0000 0.5000  8 Cd 2.94
Cd 0.5000 0.5000 0.2836  4 Zn 2.94, 4 Gd 3.29
Cd 0.5000 0.5000 0.7164  4 Zn 2.94, 4 Gd 3.29

=====

# 3
Compound: BaPa2VS8
Source: the Alexandria database
Functional: PBE
Structure: optimized geometry

Results
magnetization	1.0	μB per formula unit
DFT total energy	-6.54	eV/atom
formation energy from raw total energies	-1.283	eV/atom
calculated density	4.774	g/cm³

Cell: 5.9978 8.3435 6.3114 Å, 90.00 92.82 90.00°
Closest atoms and distances in Å follow each position.
Fractional positions:
Ba 0.0000 0.0000 0.0000  6 S 3.02-3.08
Pa 0.5000 0.2572 0.5000  6 S 2.61-2.71
Pa 0.5000 0.7428 0.5000  6 S 2.61-2.71
V 0.0000 0.5000 0.0000  4 S 2.35
S 0.2335 0.3074 0.1666  1 V 2.35, 1 Pa 2.61
S 0.2335 0.6926 0.1666  1 V 2.35, 1 Pa 2.61
S 0.2690 0.5000 0.6731  1 V 2.68, 2 Pa 2.71
S 0.2709 0.0000 0.6083  2 Pa 2.66
S 0.7291 0.0000 0.3917  2 Pa 2.66
S 0.7310 0.5000 0.3269  1 V 2.68, 2 Pa 2.71
S 0.7665 0.3074 0.8334  1 V 2.35, 1 Pa 2.61
S 0.7665 0.6926 0.8334  1 V 2.35, 1 Pa 2.61

=====

# 4
Compound: Nb5Si3Pt12
Source: the Alexandria database
Functional: PBE
Structure: optimized geometry

Results
magnetization	0.0	μB per formula unit
DFT total energy	-7.00	eV/atom
formation energy from raw total energies	-0.049	eV/atom
calculated density	12.120	g/cm³

Cell: 12.7184 12.7184 12.7184 Å, 109.47 109.47 109.47°
Closest atoms and distances in Å follow each position.
Fractional positions:
Nb 0.0000 0.0000 0.0000  6 Pt 2.55
Nb 0.0000 0.0000 0.5000  6 Pt 2.55
Nb 0.0000 0.5000 0.0000  6 Pt 2.55
Nb 0.0000 0.5000 0.5000  6 Pt 2.55
Nb 0.1250 0.7500 0.8750  4 Pt 2.54
Nb 0.1250 0.8750 0.2500  4 Pt 2.54
Nb 0.2500 0.1250 0.8750  4 Pt 2.54
Nb 0.2500 0.6250 0.3750  4 Pt 2.54
Nb 0.3750 0.2500 0.6250  4 Pt 2.54
Nb 0.3750 0.6250 0.7500  4 Pt 2.54
Nb 0.5000 0.0000 0.0000  6 Pt 2.55
Nb 0.5000 0.0000 0.5000  6 Pt 2.55
Nb 0.5000 0.5000 0.0000  6 Pt 2.55
Nb 0.5000 0.5000 0.5000  6 Pt 2.55
Nb 0.6250 0.3750 0.2500  4 Pt 2.54
Nb 0.6250 0.7500 0.3750  4 Pt 2.54
Nb 0.7500 0.3750 0.6250  4 Pt 2.54
Nb 0.7500 0.8750 0.1250  4 Pt 2.54
Nb 0.8750 0.1250 0.7500  4 Pt 2.54
Nb 0.8750 0.2500 0.1250  4 Pt 2.54
Si 0.1250 0.2500 0.3750  4 Pt 2.37
Si 0.1250 0.3750 0.7500  4 Pt 2.37
Si 0.2500 0.3750 0.1250  4 Pt 2.37
Si 0.2500 0.8750 0.6250  4 Pt 2.37
Si 0.3750 0.1250 0.2500  4 Pt 2.37
Si 0.3750 0.7500 0.1250  4 Pt 2.37
Si 0.6250 0.2500 0.8750  4 Pt 2.37
Si 0.6250 0.8750 0.7500  4 Pt 2.37
Si 0.7500 0.1250 0.3750  4 Pt 2.37
Si 0.7500 0.6250 0.8750  4 Pt 2.37
Si 0.8750 0.6250 0.2500  4 Pt 2.37
Si 0.8750 0.7500 0.6250  4 Pt 2.37
Pt 0.0555 0.6256 0.3878  1 Si 2.37, 2 Nb 2.54-2.55
Pt 0.0555 0.9299 0.6676  1 Si 2.37, 2 Nb 2.54-2.55
Pt 0.0701 0.2378 0.1256  1 Si 2.37, 2 Nb 2.54-2.55
Pt 0.0701 0.3324 0.9445  1 Si 2.37, 2 Nb 2.54-2.55
Pt 0.1122 0.7378 0.6676  1 Si 2.37, 2 Nb 2.54-2.55
Pt 0.1122 0.8744 0.4445  1 Si 2.37, 2 Nb 2.54-2.55
Pt 0.1256 0.0701 0.2378  1 Si 2.37, 2 Nb 2.54-2.55
Pt 0.1256 0.5555 0.8878  1 Si 2.37, 2 Nb 2.54-2.55
Pt 0.1676 0.2378 0.6122  1 Si 2.37, 2 Nb 2.54-2.55
Pt 0.1676 0.4299 0.5555  1 Si 2.37, 2 Nb 2.54-2.55
Pt 0.2378 0.1256 0.0701  1 Si 2.37, 2 Nb 2.54-2.55
Pt 0.2378 0.6122 0.1676  1 Si 2.37, 2 Nb 2.54-2.55
Pt 0.2622 0.3324 0.8878  1 Si 2.37, 2 Nb 2.54-2.55
Pt 0.2622 0.4299 0.3744  1 Si 2.37, 2 Nb 2.54-2.55
Pt 0.3324 0.8878 0.2622  1 Si 2.37, 2 Nb 2.54-2.55
Pt 0.3324 0.9445 0.0701  1 Si 2.37, 2 Nb 2.54-2.55
Pt 0.3744 0.2622 0.4299  1 Si 2.37, 2 Nb 2.54-2.55
Pt 0.3744 0.6122 0.9445  1 Si 2.37, 2 Nb 2.54-2.55
Pt 0.3878 0.0555 0.6256  1 Si 2.37, 2 Nb 2.54-2.55
Pt 0.3878 0.8324 0.7622  1 Si 2.37, 2 Nb 2.54-2.55
Pt 0.4299 0.3744 0.2622  1 Si 2.37, 2 Nb 2.54-2.55
Pt 0.4299 0.5555 0.1676  1 Si 2.37, 2 Nb 2.54-2.55
Pt 0.4445 0.1122 0.8744  1 Si 2.37, 2 Nb 2.54-2.55
Pt 0.4445 0.8324 0.5701  1 Si 2.37, 2 Nb 2.54-2.55
Pt 0.5555 0.1676 0.4299  1 Si 2.37, 2 Nb 2.54-2.55
Pt 0.5555 0.8878 0.1256  1 Si 2.37, 2 Nb 2.54-2.55
Pt 0.5701 0.4445 0.8324  1 Si 2.37, 2 Nb 2.54-2.55
Pt 0.5701 0.6256 0.7378  1 Si 2.37, 2 Nb 2.54-2.55
Pt 0.6122 0.1676 0.2378  1 Si 2.37, 2 Nb 2.54-2.55
Pt 0.6122 0.9445 0.3744  1 Si 2.37, 2 Nb 2.54-2.55
Pt 0.6256 0.3878 0.0555  1 Si 2.37, 2 Nb 2.54-2.55
Pt 0.6256 0.7378 0.5701  1 Si 2.37, 2 Nb 2.54-2.55
Pt 0.6676 0.0555 0.9299  1 Si 2.37, 2 Nb 2.54-2.55
Pt 0.6676 0.1122 0.7378  1 Si 2.37, 2 Nb 2.54-2.55
Pt 0.7378 0.5701 0.6256  1 Si 2.37, 2 Nb 2.54-2.55
Pt 0.7378 0.6676 0.1122  1 Si 2.37, 2 Nb 2.54-2.55
Pt 0.7622 0.3878 0.8324  1 Si 2.37, 2 Nb 2.54-2.55
Pt 0.7622 0.8744 0.9299  1 Si 2.37, 2 Nb 2.54-2.55
Pt 0.8324 0.5701 0.4445  1 Si 2.37, 2 Nb 2.54-2.55
Pt 0.8324 0.7622 0.3878  1 Si 2.37, 2 Nb 2.54-2.55
Pt 0.8744 0.4445 0.1122  1 Si 2.37, 2 Nb 2.54-2.55
Pt 0.8744 0.9299 0.7622  1 Si 2.37, 2 Nb 2.54-2.55
Pt 0.8878 0.1256 0.5555  1 Si 2.37, 2 Nb 2.54-2.55
Pt 0.8878 0.2622 0.3324  1 Si 2.37, 2 Nb 2.54-2.55
Pt 0.9299 0.6676 0.0555  1 Si 2.37, 2 Nb 2.54-2.55
Pt 0.9299 0.7622 0.8744  1 Si 2.37, 2 Nb 2.54-2.55
Pt 0.9445 0.0701 0.3324  1 Si 2.37, 2 Nb 2.54-2.55
Pt 0.9445 0.3744 0.6122  1 Si 2.37, 2 Nb 2.54-2.55

=====

# 5
Compound: Cd3Pb2
Source: the Alexandria database
Functional: PBE
Structure: optimized geometry

Results
energy relative to the lowest polymorph listed for this composition	0.0	meV/atom
magnetization	0.0	μB per formula unit
E_form	34	meV/atom
DFT total energy	-2.00	eV/atom
calculated density	9.198	g/cm³

Cell: 12.5960 12.5960 12.5960 Å, 16.21 16.21 16.21°
Closest atoms and distances in Å follow each position.
Fractional positions:
Cd 0.0000 0.0000 0.0000  6 Cd 3.01
Cd 0.3924 0.3924 0.3924  3 Cd 3.01, 3 Pb 3.30
Cd 0.6076 0.6076 0.6076  3 Cd 3.01, 3 Pb 3.30
Pb 0.2048 0.2048 0.2048  3 Cd 3.30, 9 Pb 3.51-3.55
Pb 0.7952 0.7952 0.7952  3 Cd 3.30, 9 Pb 3.51-3.55

=====

# 6
Compound: NiBrCl2
Source: the Alexandria database
Functional: PBE
Structure: optimized geometry

Results
energy relative to the lowest polymorph listed for this composition	1082.5	meV/atom
magnetization	1.5	μB per formula unit
DFT total energy	-2.09	eV/atom
formation energy from raw total energies	0.695	eV/atom
calculated density	4.274	g/cm³

Cell: 4.8973 4.8973 3.3937 Å, 90.00 90.00 90.00°
Closest atoms and distances in Å follow each position.
Fractional positions:
Ni 0.0000 0.0000 0.0000  8 Cl 2.98
Br 0.5000 0.5000 0.0000  8 Cl 2.98
Cl 0.0000 0.5000 0.5000  4 Br 2.98, 4 Ni 2.98
Cl 0.5000 0.0000 0.5000  4 Br 2.98, 4 Ni 2.98

=====

# 7
Compound: ZrNbBr2
Source: the Alexandria database
Functional: PBE
Structure: optimized geometry

Results
energy relative to the lowest polymorph listed for this composition	233.2	meV/atom
magnetization	0.0	μB per formula unit
DFT total energy	-5.44	eV/atom
formation energy from raw total energies	0.047	eV/atom
calculated density	6.305	g/cm³

Cell: 9.4343 9.4343 9.4343 Å, 152.30 152.30 39.58°
Closest atoms and distances in Å follow each position.
Fractional positions:
Zr 0.0000 0.0000 0.0000  4 Br 2.75
Zr 0.7500 0.2500 0.5000  4 Br 2.75
Nb 0.2500 0.7500 0.5000  4 Br 2.72
Nb 0.5000 0.5000 0.0000  4 Br 2.72
Br 0.1316 0.6250 0.0066  2 Nb 2.72, 2 Zr 2.75
Br 0.3750 0.3816 0.5066  2 Nb 2.72, 2 Zr 2.75
Br 0.6184 0.1250 0.9934  2 Nb 2.72, 2 Zr 2.75
Br 0.8750 0.8684 0.4934  2 Nb 2.72, 2 Zr 2.75

=====

# 8
Compound: KGaSbI2
Source: the Alexandria database
Functional: PBE
Structure: optimized geometry

Results
energy relative to the lowest polymorph listed for this composition	546.7	meV/atom
magnetization	3.0	μB per formula unit
DFT total energy	-2.07	eV/atom
formation energy from raw total energies	0.202	eV/atom
calculated density	2.867	g/cm³

Cell: 6.5662 6.5662 6.5077 Å, 90.00 90.00 90.00°
Closest atoms and distances in Å follow each position.
Fractional positions:
K 0.0000 0.0000 0.0000  2 Sb 3.25, 4 I 3.28
Ga 0.5000 0.5000 0.5000  8 I 4.62, 4 Sb 4.64
Sb 0.0000 0.0000 0.5000  2 K 3.25
I 0.0000 0.5000 0.0000  2 K 3.28
I 0.5000 0.0000 0.0000  2 K 3.28

=====

# 9
Compound: YCo2B
Source: the Alexandria database
Functional: PBE
Structure: optimized geometry

Results
magnetization	1.0	μB per formula unit
E_form	-18	meV/atom
DFT total energy	-6.86	eV/atom
calculated density	5.733	g/cm³

Cell: 7.3803 7.3803 7.3803 Å, 145.86 145.86 49.05°
Closest atoms and distances in Å follow each position.
Fractional positions:
Y 0.0000 0.0000 0.0000  8 Co 2.94-2.95, 4 B 3.06
Y 0.7500 0.2500 0.5000  8 Co 2.94-2.95, 4 B 3.06
Co 0.3730 0.1250 0.7480  2 B 2.00, 2 Co 2.17
Co 0.3750 0.6270 0.7520  2 B 2.00, 2 Co 2.17
Co 0.3770 0.6250 0.2520  2 B 2.00, 2 Co 2.17
Co 0.8750 0.6230 0.2480  2 B 2.00, 2 Co 2.17
B 0.2500 0.7500 0.5000  4 Co 2.00
B 0.5000 0.5000 0.0000  4 Co 2.00

=====

# 10
Compound: YTlHgF6
Source: the Alexandria database
Functional: PBE
Structure: optimized geometry

Results
magnetization	0.0	μB per formula unit
DFT total energy	-4.93	eV/atom
formation energy from raw total energies	-2.669	eV/atom
calculated density	5.399	g/cm³

Cell: 6.2308 6.2308 5.5607 Å, 90.00 90.00 120.00°
Closest atoms and distances in Å follow each position.
Fractional positions:
Y 0.0000 0.0000 0.0000  6 F 2.21
Tl 0.6667 0.3333 0.5000  6 F 2.84
Hg 0.3333 0.6667 0.0000  6 F 2.36
F 0.0331 0.3160 0.2104  1 Y 2.21, 1 Hg 2.36
F 0.0331 0.7171 0.7896  1 Y 2.21, 1 Hg 2.36
F 0.2829 0.3160 0.7896  1 Y 2.21, 1 Hg 2.36
F 0.2829 0.9669 0.2104  1 Y 2.21, 1 Hg 2.36
F 0.6840 0.7171 0.2104  1 Y 2.21, 1 Hg 2.36
F 0.6840 0.9669 0.7896  1 Y 2.21, 1 Hg 2.36

=====

# 11
Compound: U3CSe2
Source: the Alexandria database
Functional: PBE
Structure: optimized geometry

Results
magnetization	3.1	μB per formula unit
DFT total energy	-8.99	eV/atom
formation energy from raw total energies	-0.643	eV/atom
calculated density	11.985	g/cm³

Cell: 6.5676 6.5676 6.5676 Å, 145.30 129.85 62.42°
Closest atoms and distances in Å follow each position.
Fractional positions:
U 0.0000 0.0000 0.0000  2 C 2.78, 4 Se 2.89
U 0.3874 0.3874 0.0000  2 C 2.33, 1 U 2.53
U 0.6126 0.6126 0.0000  2 C 2.33, 1 U 2.53
C 0.5000 0.0000 0.5000  4 U 2.33
Se 0.1889 0.6889 0.5000  6 U 2.89-2.97
Se 0.8111 0.3111 0.5000  6 U 2.89-2.97